No. 1
This record from the Alexandria database describes an optimized crystal structure of BaGe2Pd2. The functional is PBE-GGA.

* DFT formation energy: -26.3 kJ per mole of atoms
* total DFT energy (no corrections): -22.91 eV per formula unit

Cell: 8.203 8.203 3.220 Å, 90.00 90.00 90.00°
Sites, in units of the cell vectors:
Ge: 0.127 0.373 0.000
Ge: 0.373 0.873 0.000
Ge: 0.627 0.127 0.000
Ge: 0.873 0.627 0.000
Ba: 0.000 0.000 0.000
Ba: 0.500 0.500 0.000
Pd: 0.369 0.131 0.500
Pd: 0.131 0.631 0.500
Pd: 0.869 0.369 0.500
Pd: 0.631 0.869 0.500


No. 2
This record from the Alexandria database describes an optimized crystal structure of Ba2Ge4Pd5. The functional is PBE-GGA.

* offset from the most stable computed form: 43 meV/atom
* DFT formation energy: -60.9 kJ per mole of atoms
* total DFT energy (no corrections): -55.22 eV per formula unit

Cell: 6.187 6.311 7.726 Å, 78.68 66.39 60.64°
Sites, in units of the cell vectors:
Ge: 0.212 0.323 0.254
Ge: 0.535 0.677 0.254
Ge: 0.465 0.323 0.746
Ge: 0.788 0.677 0.746
Pd: 0.250 0.500 0.500
Pd: 0.500 0.500 0.000
Pd: 0.750 0.500 0.500
Pd: 0.500 0.000 0.000
Pd: 0.000 0.500 0.000
Ba: 0.860 0.000 0.279
Ba: 0.140 0.000 0.721


No. 3
This record from the Alexandria database describes an optimized crystal structure of BaGePd. The functional is PBE-GGA.

* DFT formation energy: -60.9 kJ per mole of atoms
* total DFT energy (no corrections): -13.63 eV per formula unit

Cell: 4.928 4.393 4.393 Å, 120.00 90.00 90.00°
Sites, in units of the cell vectors:
Ge: 0.167 0.333 0.667
Ba: 0.667 0.667 0.333
Pd: 0.167 0.000 0.000


No. 4
This record from the Alexandria database describes an optimized crystal structure of BaGePd2. The functional is PBE-GGA.

* DFT formation energy: -14.9 kJ per mole of atoms
* total DFT energy (no corrections): -17.54 eV per formula unit

Cell: 5.009 5.009 5.009 Å, 60.00 60.00 60.00°
Sites, in units of the cell vectors:
Pd: 0.250 0.250 0.250
Pd: 0.750 0.750 0.750
Ge: 0.000 0.000 0.000
Ba: 0.500 0.500 0.500